An optimized crystal structure of KPuGa2Sb2. Source: Alexandria, functional PBE.

Cell: 4.3772 4.3772 10.4898 Å, 90.00 90.00 120.00°
Fractional positions:
K  0.0000  0.0000  0.0000
Pu  0.0000  0.0000  0.5000
Ga  0.6667  0.3333  0.3524
Ga  0.3333  0.6667  0.6476
Sb  0.6667  0.3333  0.7555
Sb  0.3333  0.6667  0.2445

Summary:
* space group: P-3m1
* ΔE_f (raw): -0.353 eV/atom
* size of the total moment: 5.08 Bohr magnetons per cell

***

An optimized crystal structure of LiGd2Re. Source: Alexandria, functional PBE.

Cell: 3.4589 3.4589 8.1815 Å, 90.00 90.00 90.00°
Fractional positions:
Re  0.5000  0.5000  0.0000
Gd  0.0000  0.0000  0.7960
Gd  0.0000  0.0000  0.2040
Li  0.5000  0.5000  0.5000

Summary:
* formation energy: 0.095 eV/atom
* space group: P4/mmm
* size of the total moment: 13.97 Bohr magnetons per cell

***

- The highest size of the total moment belongs to which entry?
  LiGd2Re

***

- Which formula does entry 2 have?
  LiGd2Re

***

- Which value of size of the total moment does entry 2 give?
  13.97 Bohr magnetons per cell